No. 1
ScIn3Pt4 | Alexandria | PBE | relaxed; calculated volume = 18.06 Å³ per atom; energy of formation from the pure elements = -0.6622 eV/atom; symmetry = I4/mmm, No. 139
1.0
-2.5475 3.2478 2.3475
0.9103 -2.2399 4.0868
6.0858 3.0592 -2.4310
In Pt Sc
3 4 1
Direct
0.2509 0.7511 0.5018
0.7491 0.2489 0.4982
0.0000 0.5000 0.0000
0.3755 0.3760 0.7510
0.6245 0.6240 0.2490
0.1244 0.1246 0.2488
0.8756 0.8754 0.7512
0.5000 0.0000 0.0000


No. 2
Sc3InPt2 | Alexandria | PBE | relaxed; calculated volume = 19.49 Å³ per atom; energy of formation from the pure elements = -0.9789 eV/atom; symmetry = P4/mmm, No. 123
1.0
-1.8155 0.2628 2.7141
-2.7233 -0.0103 -1.8207
-0.4574 -10.8596 0.7456
Sc Pt In
3 2 1
Direct
0.0000 0.0000 0.3064
0.0000 0.0000 0.6936
0.0000 0.0000 0.0000
0.5000 0.5000 0.1563
0.5000 0.5000 0.8437
0.5000 0.5000 0.5000


No. 3
ScInPt2 | Alexandria | PBE | relaxed; calculated volume = 18.66 Å³ per atom; energy of formation from the pure elements = -0.7941 eV/atom; symmetry = P4mm, No. 99
1.0
-2.0965 -2.6615 -1.3315
2.9513 -1.6795 -1.2900
0.5112 -2.8324 4.8569
In Sc Pt
1 1 2
Direct
0.5000 0.5000 0.7872
0.0000 0.0000 0.4583
0.5000 0.5000 0.2841
0.0000 0.0000 0.9704


No. 4
ScIn2Pt | Alexandria | PBE | relaxed; calculated volume = 20.44 Å³ per atom; energy of formation from the pure elements = -0.4373 eV/atom; symmetry = P4/mmm, No. 123
1.0
3.3526 0.0000 0.0000
0.0000 3.3506 0.0000
0.0000 0.0000 7.2769
In Sc Pt
2 1 1
Direct
0.0000 0.0000 0.0292
0.0000 0.0000 0.4708
0.5000 0.5000 0.7500
0.5000 0.5000 0.2500


No. 5
ScInPt2 | Alexandria | PBE | relaxed; calculated volume = 19.01 Å³ per atom; energy of formation from the pure elements = -0.8683 eV/atom; symmetry = Pm, No. 6
1.0
-1.1178 -4.0758 0.7254
-0.2056 -0.5540 -3.4300
4.8064 -1.6383 -1.7991
Pt In Sc
2 1 1
Direct
0.5000 0.0375 0.2999
0.0000 0.2081 0.9588
0.5000 0.7732 0.8296
0.0000 0.4812 0.4117


No. 6
ScIn2Pt | Alexandria | PBE | relaxed; calculated volume = 21.00 Å³ per atom; energy of formation from the pure elements = -0.3185 eV/atom; symmetry = C2/m, No. 12
1.0
-1.7982 -2.4867 4.0946
5.8092 1.0992 0.0867
0.3230 2.6062 1.8548
Pt Sc In
1 1 2
Direct
0.0000 0.5000 0.5000
0.5000 0.5000 0.0000
0.5000 0.0000 0.5000
0.0000 0.0000 0.0000


No. 7
ScInPt2 | Alexandria | PBE | relaxed; calculated volume = 20.93 Å³ per atom; energy of formation from the pure elements = -0.3805 eV/atom; symmetry = R3m, No. 160
1.0
-5.1405 -6.1889 0.8151
-2.6939 -6.9046 3.2344
-5.2887 -4.6521 3.9723
Pt In Sc
2 1 1
Direct
0.9959 0.9959 0.9959
0.2495 0.2495 0.2495
0.7400 0.7400 0.7400
0.5145 0.5145 0.5145


No. 8
Sc2InPt2 | Alexandria | PBE | relaxed; calculated volume = 21.58 Å³ per atom; energy of formation from the pure elements = -0.6829 eV/atom; symmetry = I4/mmm, No. 139
1.0
3.9319 0.0000 0.0000
0.0000 3.9319 0.0000
1.9659 1.9659 6.9801
In Sc Pt
1 2 2
Direct
0.0000 0.0000 0.0000
0.3803 0.3803 0.2394
0.6197 0.6197 0.7606
0.2500 0.7500 0.5000
0.7500 0.2500 0.5000